1.
# In3CuN

Crystalline In3CuN at its relaxed geometry (GGA-PBE, the Alexandria database).

Calculated values
The value obtained for the density is 5.7 Mg/m³. The distance to the lowest polymorph of the same formula comes out at 0.370 eV per atom. The calculation puts the formation energy without anion corrections at 1.018 eV per atom. As for the total energy: -3.1098 eV/atom. The symmetry is No. 221.

Structure (extended XYZ):
```
5
Lattice="-3.902 -0.238 3.083 -0.078 -4.954 -0.480 3.091 -0.425 3.879" Properties=species:S:1:pos:R:3 pbc="T T T"
N -0.444 -2.808 3.241
Cu 0.000 0.000 0.000
In -0.039 -2.477 -0.240
In 1.545 -0.212 1.940
In -1.951 -0.119 1.541
```

---

2.
# LaTc3Ir

Crystalline LaTc3Ir at its relaxed geometry (GGA-PBE, the Alexandria database).

Calculated values
The value obtained for the density is 9.5 Mg/m³. The distance to the lowest polymorph of the same formula comes out at 0.000 eV per atom. As for the total energy: -8.0294 eV/atom. The symmetry is No. 221.

Structure (extended XYZ):
```
5
Lattice="4.781 0.000 0.000 0.000 4.781 0.000 0.000 0.000 4.781" Properties=species:S:1:pos:R:3 pbc="T T T"
Ir 0.000 0.000 0.000
Tc 0.000 2.391 0.000
Tc 0.000 0.000 2.391
Tc 2.391 0.000 0.000
La 2.391 2.391 2.391
```